VASP calculation (PBE) on crystalline MnFe2AuSe at its relaxed geometry.

Properties
Space-group type ... P4/mmm

Unit cell a=4.376 b=4.330 c=4.376 alpha=90.00 beta=90.00 gamma=90.00
Last column: magnetic moment on the atom in μB.
Fractional positions:
1 Mn 0.000 0.500 0.000  0.38
2 Fe 0.500 0.000 0.000  2.41
3 Fe 0.000 0.000 0.500  2.31
4 Au 0.500 0.500 0.500  0.01
5 Se 0.000 0.000 0.000  -0.05


VASP calculation (PBE) on crystalline Ag7AsSe6 at its relaxed geometry.

Properties
Space-group type ... Ibam
Energy relative to the lowest polymorph listed for this composition ... 1.16 eV per formula unit

Unit cell a=6.376 b=10.969 c=10.969 alpha=83.74 beta=73.11 gamma=73.11
Fractional positions:
1 Ag 0.660 0.162 0.626
2 Ag 0.266 0.975 0.025
3 Ag 0.750 0.750 0.750
4 Ag 0.449 0.374 0.838
5 Ag 0.840 0.874 0.338
6 Ag 0.051 0.662 0.126
7 Ag 0.551 0.626 0.162
8 Ag 0.949 0.338 0.874
9 Ag 0.340 0.838 0.374
10 Ag 0.766 0.525 0.475
11 Ag 0.734 0.025 0.975
12 Ag 0.160 0.126 0.662
13 Ag 0.250 0.250 0.250
14 Ag 0.234 0.475 0.525
15 As 0.750 0.250 0.250
16 As 0.250 0.750 0.750
17 Se 0.061 0.055 0.260
18 Se 0.349 0.151 0.849
19 Se 0.439 0.240 0.445
20 Se 0.875 0.445 0.240
21 Se 0.375 0.740 0.945
22 Se 0.125 0.555 0.760
23 Se 0.849 0.349 0.651
24 Se 0.151 0.651 0.349
25 Se 0.651 0.849 0.151
26 Se 0.625 0.260 0.055
27 Se 0.561 0.760 0.555
28 Se 0.939 0.945 0.740


Energy relative to the elements, uncorrected readings, ordered: 747 8 meV/atom
M_tot readings, ordered: 4.96 0.00 μB/cell